P:
## LiZn6Au3 (GGA-PBE)

Data for an optimized crystal structure of LiZn6Au3.

Cell and atoms, written as POSCAR:
```
LiZn6Au3
1.0
4.567 0.000 0.000
0.000 7.074 -2.278
0.000 -0.122 9.707
Li Zn Au
2 12 6
Direct
0.750 0.604 0.565 Li
0.250 0.396 0.435 Li
0.750 0.600 0.072 Zn
0.250 0.400 0.928 Zn
0.750 0.000 0.174 Zn
0.250 0.000 0.826 Zn
0.750 0.013 0.670 Zn
0.250 0.987 0.330 Zn
0.750 0.204 0.463 Zn
0.250 0.796 0.537 Zn
0.750 0.392 0.272 Zn
0.250 0.608 0.728 Zn
0.750 0.808 0.867 Zn
0.250 0.192 0.133 Zn
0.750 0.805 0.380 Au
0.250 0.195 0.620 Au
0.750 0.430 0.765 Au
0.250 0.570 0.235 Au
0.750 0.195 0.967 Au
0.250 0.805 0.033 Au
```

**Calculated density**: 10.5 g/cm3
**Space-group type**: P2_1/m, No. 11
**Total magnetic moment**: 0.000 μB per formula unit



Q:
## LiZn6Au3 (GGA-PBE)

Data for an optimized crystal structure of LiZn6Au3.

Cell and atoms, written as POSCAR:
```
LiZn6Au3
1.0
-2.543 3.892 -4.637
0.497 -1.677 -6.329
-5.335 -1.903 -3.321
Li Zn Au
1 6 3
Direct
0.000 0.000 0.000 Li
0.764 0.764 0.236 Zn
0.236 0.764 0.764 Zn
0.236 0.764 0.236 Zn
0.764 0.236 0.236 Zn
0.764 0.236 0.764 Zn
0.236 0.236 0.764 Zn
0.750 0.750 0.750 Au
0.250 0.250 0.250 Au
0.500 0.500 0.500 Au
```

**Calculated density**: 8.2 g/cm3
**Space-group type**: Fm-3m, No. 225
**Total magnetic moment**: 0.000 μB per formula unit



Most stable: P. Least stable: Q.



P:
## LiZnAu4 (GGA-PBE)

Data for an optimized crystal structure of LiZnAu4.

Cell and atoms, written as POSCAR:
```
LiZnAu4
1.0
-2.592 -4.008 -2.739
-4.147 -2.723 2.381
-5.159 0.760 -1.758
Li Zn Au
1 1 4
Direct
0.750 0.750 0.750 Li
0.000 0.000 0.000 Zn
0.875 0.375 0.375 Au
0.375 0.375 0.875 Au
0.375 0.875 0.375 Au
0.375 0.375 0.375 Au
```

**Calculated density**: 12.1 g/cm3
**Space-group type**: F-43m, No. 216
**Total magnetic moment**: 0.000 μB per formula unit



Q:
## LiZnAu4 (GGA-PBE)

Data for an optimized crystal structure of LiZnAu4.

Cell and atoms, written as POSCAR:
```
LiZnAu4
1.0
-0.366 0.154 3.708
0.096 -4.733 2.081
5.164 3.516 2.239
Li Zn Au
1 1 4
Direct
0.000 0.000 0.000 Li
0.500 0.500 0.500 Zn
0.828 0.513 0.831 Au
0.327 0.021 0.326 Au
0.172 0.487 0.169 Au
0.673 0.979 0.674 Au
```

**Calculated density**: 14.3 g/cm3
**Space-group type**: C2/m, No. 12
**Total magnetic moment**: 0.000 μB per formula unit



R:
## LiZnAu4 (GGA-PBE)

Data for an optimized crystal structure of LiZnAu4.

Cell and atoms, written as POSCAR:
```
LiZnAu4
1.0
5.561 0.389 0.000
-0.527 7.525 0.000
-2.517 -3.957 5.547
Li Zn Au
2 2 8
Direct
0.138 0.888 0.776 Li
0.862 0.112 0.224 Li
0.389 0.639 0.277 Zn
0.611 0.361 0.723 Zn
0.000 0.271 0.000 Au
0.500 0.729 0.000 Au
0.245 0.500 0.500 Au
0.755 0.500 0.500 Au
0.245 0.000 0.500 Au
0.500 0.271 0.000 Au
0.755 0.000 0.500 Au
0.000 0.729 0.000 Au
```

**Calculated density**: 12.2 g/cm3
**Space-group type**: Imma, No. 74
**Total magnetic moment**: 0.000 μB per formula unit



Most stable: Q. Least stable: P.



P:
## Li4ZnAu2 (GGA-PBE)

Data for an optimized crystal structure of Li4ZnAu2.

Cell and atoms, written as POSCAR:
```
Li4ZnAu2
1.0
3.966 0.000 0.000
0.000 5.441 -1.124
0.000 0.067 5.555
Li Zn Au
4 1 2
Direct
0.000 0.805 0.805 Li
0.000 0.195 0.195 Li
0.500 0.000 0.500 Li
0.500 0.500 0.000 Li
0.500 0.500 0.500 Zn
0.000 0.712 0.288 Au
0.000 0.288 0.712 Au
```

**Calculated density**: 6.7 g/cm3
**Space-group type**: Cmmm, No. 65
**Total magnetic moment**: 0.000 μB per formula unit



Q:
## Li4ZnAu2 (GGA-PBE)

Data for an optimized crystal structure of Li4ZnAu2.

Cell and atoms, written as POSCAR:
```
Li4ZnAu2
1.0
2.791 0.000 0.000
0.000 6.977 -0.010
-1.396 -3.434 6.079
Li Zn Au
4 1 2
Direct
0.907 0.267 0.815 Li
0.093 0.733 0.185 Li
0.642 0.394 0.284 Li
0.358 0.606 0.716 Li
0.000 0.000 0.000 Zn
0.777 0.828 0.553 Au
0.223 0.172 0.447 Au
```

**Calculated density**: 6.8 g/cm3
**Space-group type**: C2/m, No. 12
**Total magnetic moment**: 0.000 μB per formula unit



Most stable: P. Least stable: Q.



P:
## LiZn3Au (GGA-PBE)

Data for an optimized crystal structure of LiZn3Au.

Cell and atoms, written as POSCAR:
```
LiZn3Au
1.0
-3.684 -2.422 2.211
-0.299 -3.064 -3.853
3.266 -3.012 2.141
Zn Au Li
3 1 1
Direct
0.000 0.500 0.000 Zn
0.000 0.000 0.500 Zn
0.500 0.000 0.000 Zn
0.000 0.000 0.000 Au
0.500 0.500 0.500 Li
```

**Calculated density**: 5.5 g/cm3
**Space-group type**: Pm-3m, No. 221
**Total magnetic moment**: 0.000 μB per formula unit



Q:
## LiZn3Au (GGA-PBE)

Data for an optimized crystal structure of LiZn3Au.

Cell and atoms, written as POSCAR:
```
LiZn3Au
1.0
-3.801 -5.503 -1.179
4.204 -3.682 3.632
-7.643 4.850 2.001
Li Zn Au
4 12 4
Direct
0.878 0.640 0.187 Li
0.122 0.360 0.813 Li
0.378 0.360 0.313 Li
0.622 0.640 0.687 Li
0.126 0.019 0.283 Zn
0.874 0.981 0.717 Zn
0.626 0.981 0.217 Zn
0.374 0.019 0.783 Zn
0.592 0.785 0.452 Zn
0.408 0.215 0.548 Zn
0.092 0.215 0.048 Zn
0.908 0.785 0.952 Zn
0.133 0.569 0.627 Zn
0.867 0.431 0.373 Zn
0.633 0.431 0.873 Zn
0.367 0.569 0.127 Zn
0.168 0.800 0.458 Au
0.832 0.200 0.542 Au
0.668 0.200 0.042 Au
0.332 0.800 0.958 Au
```

**Calculated density**: 8.8 g/cm3
**Space-group type**: P2_1/c, No. 14
**Total magnetic moment**: 0.000 μB per formula unit



R:
## LiZn3Au (GGA-PBE)

Data for an optimized crystal structure of LiZn3Au.

Cell and atoms, written as POSCAR:
```
LiZn3Au
1.0
3.910 0.000 0.894
0.000 4.017 0.000
-0.122 0.000 9.537
Li Zn Au
2 6 2
Direct
0.474 0.750 0.701 Li
0.175 0.250 0.299 Li
0.773 0.250 0.102 Zn
0.372 0.250 0.904 Zn
0.574 0.250 0.501 Zn
0.276 0.750 0.096 Zn
0.875 0.750 0.898 Zn
0.075 0.750 0.499 Zn
0.673 0.750 0.303 Au
0.976 0.250 0.697 Au
```

**Calculated density**: 8.8 g/cm3
**Space-group type**: Cmcm, No. 63
**Total magnetic moment**: 0.000 μB per formula unit



Most stable: R. Least stable: P.



P:
## Li3ZnAu3 (GGA-PBE)

Data for an optimized crystal structure of Li3ZnAu3.

Cell and atoms, written as POSCAR:
```
Li3ZnAu3
1.0
-2.148 -3.690 -3.535
5.523 -0.144 -0.449
0.244 -5.723 5.969
Li Zn Au
6 2 6
Direct
0.551 0.551 0.303 Li
0.170 0.830 0.500 Li
0.830 0.170 0.500 Li
0.228 0.772 0.000 Li
0.772 0.228 0.000 Li
0.449 0.449 0.697 Li
0.696 0.696 0.977 Zn
0.304 0.304 0.023 Zn
0.973 0.973 0.227 Au
0.972 0.509 0.748 Au
0.509 0.972 0.748 Au
0.028 0.491 0.252 Au
0.491 0.028 0.252 Au
0.027 0.027 0.773 Au
```

**Calculated density**: 9.3 g/cm3
**Space-group type**: C2/m, No. 12
**Total magnetic moment**: 0.000 μB per formula unit



Q:
## Li3ZnAu3 (GGA-PBE)

Data for an optimized crystal structure of Li3ZnAu3.

Cell and atoms, written as POSCAR:
```
Li3ZnAu3
1.0
6.307 0.157 -0.001
0.171 6.307 -0.001
0.001 0.001 6.058
Li Zn Au
6 2 6
Direct
0.248 0.248 0.500 Li
0.260 0.740 0.500 Li
0.740 0.260 0.500 Li
0.277 0.723 0.000 Li
0.723 0.277 0.000 Li
0.752 0.752 0.500 Li
0.247 0.247 0.000 Zn
0.753 0.753 0.000 Zn
0.000 0.000 0.748 Au
0.500 0.000 0.255 Au
0.000 0.500 0.255 Au
0.500 0.000 0.745 Au
0.000 0.500 0.745 Au
0.000 0.000 0.252 Au
```

**Calculated density**: 9.3 g/cm3
**Space-group type**: Cmmm, No. 65
**Total magnetic moment**: 0.000 μB per formula unit



Most stable: Q. Least stable: P.



P:
## Li6Zn2Au (GGA-PBE)

Data for an optimized crystal structure of Li6Zn2Au.

Cell and atoms, written as POSCAR:
```
Li6Zn2Au
1.0
2.693 0.000 -0.480
0.000 7.564 0.000
-2.081 -3.782 7.217
Li Zn Au
6 2 1
Direct
0.847 0.332 0.330 Li
0.153 0.001 0.670 Li
0.153 0.668 0.670 Li
0.500 0.329 0.000 Li
0.847 0.999 0.330 Li
0.500 0.671 0.000 Li
0.335 0.665 0.330 Zn
0.665 0.335 0.670 Zn
0.000 0.000 0.000 Au
```

**Calculated density**: 4.4 g/cm3
**Space-group type**: C2/m, No. 12
**Total magnetic moment**: 0.000 μB per formula unit



Q:
## Li6Zn2Au (GGA-PBE)

Data for an optimized crystal structure of Li6Zn2Au.

Cell and atoms, written as POSCAR:
```
Li6Zn2Au
1.0
-4.992 -1.408 -0.419
1.472 -1.508 -4.759
1.633 -4.244 2.532
Li Zn Au
6 2 1
Direct
0.164 0.500 0.836 Li
0.836 0.164 0.500 Li
0.836 0.500 0.164 Li
0.500 0.164 0.836 Li
0.164 0.836 0.500 Li
0.500 0.836 0.164 Li
0.662 0.662 0.662 Zn
0.338 0.338 0.338 Zn
0.000 0.000 0.000 Au
```

**Calculated density**: 4.5 g/cm3
**Space-group type**: R-3m, No. 166
**Total magnetic moment**: 0.000 μB per formula unit



Most stable: Q. Least stable: P.